[1]
## Pm2NdCd (PBE)

Data for Pm2NdCd after structural relaxation.

Cell: 4.9669 4.9669 4.9659 Å, 90.00 90.00 90.00°
With the nearest neighbours (Å) after each atom.
Space group P4/mmm (No. 123)
One atom of each set of equivalent atoms:
Pm  0.0000  0.5000  0.0000 (multiplicity 2)  4 Cd 3.51, 4 Nd 3.51, 4 Pm 3.51
Nd  0.0000  0.0000  0.5000 (multiplicity 1)  8 Pm 3.51, 4 Cd 3.51
Cd  0.5000  0.5000  0.5000 (multiplicity 1)  8 Pm 3.51, 4 Nd 3.51

- V: 122.5 Å³/f.u.
- Electronic total energy: -3.902 eV/atom

***

[2]
## PmNdCd3 (PBE)

Data for PmNdCd3 after structural relaxation.

Cell: 9.6785 5.8594 10.0952 Å, 90.00 105.33 90.00°
With the nearest neighbours (Å) after each atom.
Space group P2_1/c (No. 14)
One atom of each set of equivalent atoms:
Pm  0.1723  0.2198  0.1683 (multiplicity 4)  8 Cd 3.11-3.42
Nd  0.2562  0.7437  0.4389 (multiplicity 4)  6 Cd 3.18-3.56
Cd  0.0198  0.7128  0.1287 (multiplicity 4)  4 Pm 3.11-3.29, 2 Nd 3.36
Cd  0.3903  0.2426  0.4730 (multiplicity 4)  4 Cd 3.08-3.11, 3 Nd 3.18-3.30, 2 Pm 3.24-3.25
Cd  0.4850  0.5131  0.2485 (multiplicity 4)  6 Cd 2.94-3.11

- V: 138.0 Å³/f.u.
- Electronic total energy: -2.693 eV/atom

***

[3]
## Pm2Nd3Cd (PBE)

Data for Pm2Nd3Cd after structural relaxation.

Cell: 6.2339 10.8372 11.8062 Å, 90.00 100.33 90.00°
With the nearest neighbours (Å) after each atom.
Space group C2/m (No. 12)
One atom of each set of equivalent atoms:
Pm  0.0000  0.0000  0.0000 (multiplicity 2)  6 Nd 3.53, 6 Cd 3.60-3.61
Pm  0.0000  0.1633  0.5000 (multiplicity 4)  6 Pm 3.54-3.65, 6 Nd 3.63-3.64
Pm  0.0000  0.5000  0.5000 (multiplicity 2)  6 Pm 3.58-3.65, 6 Nd 3.62-3.65
Nd  0.2397  0.5000  0.2422 (multiplicity 4)  2 Cd 3.49, 4 Pm 3.53-3.64, 6 Nd 3.57-3.67
Nd  0.2500  0.1701  0.2437 (multiplicity 8)  2 Cd 3.49-3.51, 4 Pm 3.53-3.65, 6 Nd 3.57-3.69
Cd  0.0000  0.3322  0.0000 (multiplicity 4)  6 Nd 3.49-3.51, 3 Cd 3.59-3.64, 3 Pm 3.60-3.61

- V: 196.2 Å³/f.u.
- Electronic total energy: -4.147 eV/atom

***

[4]
## Pm2Nd2Cd (PBE)

Data for Pm2Nd2Cd after structural relaxation.

Cell: 3.7104 3.7104 23.4613 Å, 90.00 90.00 90.00°
With the nearest neighbours (Å) after each atom.
Space group I4/mmm (No. 139)
One atom of each set of equivalent atoms:
Pm  0.0000  0.0000  0.0872 (multiplicity 4)  4 Cd 3.33, 4 Nd 3.65, 4 Pm 3.71
Nd  0.0000  0.0000  0.3049 (multiplicity 4)  4 Pm 3.65, 8 Nd 3.68-3.71
Cd  0.0000  0.0000  0.5000 (multiplicity 2)  8 Pm 3.33, 4 Cd 3.71

- V: 161.5 Å³/f.u.
- Electronic total energy: -4.107 eV/atom

***

[5]
## PmNd4Cd2 (PBE)

Data for PmNd4Cd2 after structural relaxation.

Cell: 5.5614 9.6275 16.5660 Å, 90.00 90.00 90.00°
With the nearest neighbours (Å) after each atom.
Space group Cmcm (No. 63)
One atom of each set of equivalent atoms:
Pm  0.0000  0.0006  0.2500 (multiplicity 4)  3 Nd 3.21
Nd  0.0000  0.0000  0.0000 (multiplicity 4)  6 Cd 3.35
Nd  0.0000  0.3328  0.6412 (multiplicity 8)  4 Cd 3.30-3.49, 4 Nd 3.60-3.68, 3 Pm 3.68
Nd  0.0000  0.3340  0.2500 (multiplicity 4)  2 Cd 3.18, 3 Pm 3.21
Cd  0.0000  0.3335  0.0583 (multiplicity 8)  8 Nd 3.18-3.49

- V: 221.7 Å³/f.u.
- Electronic total energy: -3.804 eV/atom

***

[6]
## Pm2NdCd3 (PBE)

Data for Pm2NdCd3 after structural relaxation.

Cell: 3.8381 3.8381 11.5416 Å, 90.00 90.00 90.00°
With the nearest neighbours (Å) after each atom.
Space group P4/mmm (No. 123)
One atom of each set of equivalent atoms:
Pm  0.0000  0.0000  0.1658 (multiplicity 2)  8 Cd 3.32
Nd  0.0000  0.0000  0.5000 (multiplicity 1)  8 Cd 3.34
Cd  0.5000  0.5000  0.0000 (multiplicity 1)  8 Pm 3.32
Cd  0.5000  0.5000  0.3309 (multiplicity 2)  4 Pm 3.32, 4 Nd 3.34

- V: 170.0 Å³/f.u.
- Electronic total energy: -3.154 eV/atom

***

What did the first record say?
## Pm2NdCd (PBE)

Data for Pm2NdCd after structural relaxation.

Cell: 4.9669 4.9669 4.9659 Å, 90.00 90.00 90.00°
With the nearest neighbours (Å) after each atom.
Space group P4/mmm (No. 123)
One atom of each set of equivalent atoms:
Pm  0.0000  0.5000  0.0000 (multiplicity 2)  4 Cd 3.51, 4 Nd 3.51, 4 Pm 3.51
Nd  0.0000  0.0000  0.5000 (multiplicity 1)  8 Pm 3.51, 4 Cd 3.51
Cd  0.5000  0.5000  0.5000 (multiplicity 1)  8 Pm 3.51, 4 Nd 3.51

- V: 122.5 Å³/f.u.
- Electronic total energy: -3.902 eV/atom

***

Question: Among the records above, which one has the lowest electronic total energy?
Answer: Pm2Nd3Cd

***

Repeat the sixth record exactly.
## Pm2NdCd3 (PBE)

Data for Pm2NdCd3 after structural relaxation.

Cell: 3.8381 3.8381 11.5416 Å, 90.00 90.00 90.00°
With the nearest neighbours (Å) after each atom.
Space group P4/mmm (No. 123)
One atom of each set of equivalent atoms:
Pm  0.0000  0.0000  0.1658 (multiplicity 2)  8 Cd 3.32
Nd  0.0000  0.0000  0.5000 (multiplicity 1)  8 Cd 3.34
Cd  0.5000  0.5000  0.0000 (multiplicity 1)  8 Pm 3.32
Cd  0.5000  0.5000  0.3309 (multiplicity 2)  4 Pm 3.32, 4 Nd 3.34

- V: 170.0 Å³/f.u.
- Electronic total energy: -3.154 eV/atom